# 1
DFT (GGA-PBE) results for Sr2C2O7 after structural relaxation.

Cell lengths 5.8980, 5.8980, 4.5826 Å; angles 105.93, 105.93, 97.25 degrees
Fractional coordinates of all 11 atoms:
Sr: 0.2326 0.7674 0.0000
Sr: 0.7674 0.2326 0.0000
C: 0.2097 0.2097 0.5952
C: 0.7903 0.7903 0.4048
O: 0.0691 0.3251 0.7178
O: 0.2256 0.2256 0.3176
O: 0.3251 0.0691 0.7178
O: 0.5000 0.5000 0.5000
O: 0.6749 0.9309 0.2822
O: 0.7744 0.7744 0.6824
O: 0.9309 0.6749 0.2822

SG = C2/m (12)



# 2
DFT (GGA-PBE) results for Na2Zr2RhSe6 after structural relaxation.

Cell lengths 6.5011, 6.5011, 7.5118 Å; angles 98.61, 98.61, 118.65 degrees
Fractional coordinates of all 11 atoms:
Na: 0.1645 0.8355 0.0000
Na: 0.8355 0.1645 0.0000
Zr: 0.3215 0.6785 0.5000
Zr: 0.6785 0.3215 0.5000
Rh: 0.0000 0.0000 0.5000
Se: 0.0899 0.4012 0.7211
Se: 0.2490 0.2490 0.2955
Se: 0.4012 0.0899 0.7211
Se: 0.5988 0.9101 0.2789
Se: 0.7510 0.7510 0.7045
Se: 0.9101 0.5988 0.2789

SG = C2/m (12)



What density values result from the calculations? In sequence: 3.6, 5.0 g/cm3.
What raw formation energy values result from the calculations? In sequence: -1.766, -1.078 eV per atom.
What size of the total moment values result from the calculations? In sequence: 0.00, 0.00 μB/cell.